(1)
# Tb6Pm3Mg GGA-PBE relaxed
data_Tb6Pm3Mg
_symmetry_space_group_name_H-M 'R -3'
_symmetry_Int_Tables_number 148
_symmetry_space_group_name_Hall '-R 3'
_cell_length_a 9.1948
_cell_length_b 9.1948
_cell_length_c 26.9560
_cell_angle_alpha 90.00
_cell_angle_beta 90.00
_cell_angle_gamma 120.00
loop_
_atom_site_label
_atom_site_fract_x
_atom_site_fract_y
_atom_site_fract_z
Tb1 0.0322 0.2240 0.1070
Tb2 0.0672 0.2531 0.2275
Pm1 0.0603 0.2416 0.6669
Mg1 0.0000 0.0000 0.0000
Mg2 0.0000 0.0000 0.5000
# * energy relative to the elements: 0.184 eV/atom

---

(2)
# K3NaHg GGA-PBE relaxed
data_K3NaHg
_symmetry_space_group_name_H-M 'P 1'
_symmetry_Int_Tables_number 1
_cell_length_a 4.7948
_cell_length_b 10.3061
_cell_length_c 10.7989
_cell_angle_alpha 86.65
_cell_angle_beta 89.98
_cell_angle_gamma 76.58
loop_
_symmetry_equiv_pos_as_xyz
'x,y,z'
loop_
_atom_site_label
_atom_site_fract_x
_atom_site_fract_y
_atom_site_fract_z
K1 0.0000 0.0000 0.0000
K2 0.1224 0.7551 0.4512
K3 0.3088 0.3834 0.0295
K4 0.4566 0.0866 0.6599
K5 0.6662 0.6685 0.7916
K6 0.8139 0.3718 0.4226
Na1 0.4717 0.0538 0.2937
Na2 0.6499 0.7020 0.1576
Hg1 0.2749 0.4502 0.6657
Hg2 0.8477 0.3050 0.7863
# * energy relative to the elements: -0.090 eV/atom
# * distance to the lowest polymorph of the same formula: 0 meV/atom

---

(3)
# CrBr2Cl GGA-PBE relaxed
data_CrBr2Cl
_symmetry_space_group_name_H-M 'I -4 m 2'
_symmetry_Int_Tables_number 119
_symmetry_space_group_name_Hall 'I -4 -2'
_cell_length_a 5.0274
_cell_length_b 5.0274
_cell_length_c 7.1273
_cell_angle_alpha 90.00
_cell_angle_beta 90.00
_cell_angle_gamma 90.00
loop_
_atom_site_label
_atom_site_fract_x
_atom_site_fract_y
_atom_site_fract_z
Cr1 0.0000 0.0000 0.0000
Br1 0.0000 0.0000 0.5000
Br2 0.0000 0.5000 0.7500
Cl1 0.0000 0.5000 0.2500
# * distance to the lowest polymorph of the same formula: 1025 meV/atom
# * formation energy (no corrections): 0.25 eV/atom

---

(4)
# YScMo2 GGA-PBE relaxed
data_YScMo2
_symmetry_space_group_name_H-M 'C m m m'
_symmetry_Int_Tables_number 65
_symmetry_space_group_name_Hall '-C 2 2'
_cell_length_a 3.4632
_cell_length_b 4.7192
_cell_length_c 9.5578
_cell_angle_alpha 90.00
_cell_angle_beta 90.00
_cell_angle_gamma 90.00
loop_
_atom_site_label
_atom_site_fract_x
_atom_site_fract_y
_atom_site_fract_z
Y1 0.0000 0.0000 0.0000
Sc1 0.0000 0.0000 0.5000
Mo1 0.0000 0.5000 0.2610
# * energy relative to the elements: 0.419 eV/atom
# * distance to the lowest polymorph of the same formula: 357 meV/atom

---

(5)
# Pa3Ga GGA-PBE relaxed
data_Pa3Ga
_symmetry_space_group_name_H-M 'P m -3 m'
_symmetry_Int_Tables_number 221
_symmetry_space_group_name_Hall '-P 4 2 3'
_cell_length_a 4.5129
_cell_length_b 4.5129
_cell_length_c 4.5129
_cell_angle_alpha 90.00
_cell_angle_beta 90.00
_cell_angle_gamma 90.00
loop_
_atom_site_label
_atom_site_fract_x
_atom_site_fract_y
_atom_site_fract_z
Pa1 0.0000 0.0000 0.5000
Ga1 0.5000 0.5000 0.5000
# * energy relative to the elements: -0.152 eV/atom
# * distance to the lowest polymorph of the same formula: 0 meV/atom

---

(6)
# Dy2YH GGA-PBE relaxed
data_Dy2YH
_symmetry_space_group_name_H-M 'R -3 m'
_symmetry_Int_Tables_number 166
_symmetry_space_group_name_Hall '-R 3 2"'
_cell_length_a 3.6066
_cell_length_b 3.6066
_cell_length_c 25.4001
_cell_angle_alpha 90.00
_cell_angle_beta 90.00
_cell_angle_gamma 120.00
loop_
_atom_site_label
_atom_site_fract_x
_atom_site_fract_y
_atom_site_fract_z
Dy1 0.0000 0.0000 0.2204
Y1 0.0000 0.0000 0.0000
H1 0.0000 0.0000 0.5000
# * distance to the lowest polymorph of the same formula: 0 meV/atom

---

(7)
# TaPdPt GGA-PBE relaxed
data_TaPdPt
_symmetry_space_group_name_H-M 'I 4 m m'
_symmetry_Int_Tables_number 107
_symmetry_space_group_name_Hall 'I 4 -2'
_cell_length_a 2.8722
_cell_length_b 2.8722
_cell_length_c 11.7842
_cell_angle_alpha 90.00
_cell_angle_beta 90.00
_cell_angle_gamma 90.00
loop_
_atom_site_label
_atom_site_fract_x
_atom_site_fract_y
_atom_site_fract_z
Ta1 0.0000 0.0000 0.0000
Pd1 0.0000 0.0000 0.6637
Pt1 0.0000 0.0000 0.3394
# * energy relative to the elements: -0.480 eV/atom
# * distance to the lowest polymorph of the same formula: 8 meV/atom

---

(8)
# KNb3Tc GGA-PBE relaxed
data_KNb3Tc
_symmetry_space_group_name_H-M 'P m -3 m'
_symmetry_Int_Tables_number 221
_symmetry_space_group_name_Hall '-P 4 2 3'
_cell_length_a 4.5590
_cell_length_b 4.5590
_cell_length_c 4.5590
_cell_angle_alpha 90.00
_cell_angle_beta 90.00
_cell_angle_gamma 90.00
loop_
_atom_site_label
_atom_site_fract_x
_atom_site_fract_y
_atom_site_fract_z
K1 0.0000 0.0000 0.0000
Nb1 0.0000 0.0000 0.5000
Tc1 0.5000 0.5000 0.5000
# * energy relative to the elements: 2.774 eV/atom
# * distance to the lowest polymorph of the same formula: 1572 meV/atom

---

- Which formula does entry 1 have?
  Tb6Pm3Mg